First-principles (PBE) data for TmPaTe after structural relaxation, as listed in Alexandria via LeMat-Bulk.

Cell lengths 3.697, 3.697, 6.637 Å; angles 106.17, 106.17, 90.00 degrees
Sites, in units of the cell vectors:
Te 0.669 0.669 0.339
Pa 0.012 0.012 0.024
Tm 0.319 0.319 0.637

Computed properties:
Electronic total energy: -6.0584 eV/atom
ΔE_f (raw): -0.355 eV/atom
Total magnetization: 0.43 μB per atom

***

First-principles (PBE) data for TmPaTe3 after structural relaxation, as listed in Alexandria via LeMat-Bulk.

Cell lengths 5.784, 8.734, 6.173 Å; angles 90.00, 90.00, 109.31 degrees
Sites, in units of the cell vectors:
Tm 0.162 0.325 0.000
Tm 0.838 0.675 0.000
Pa 0.402 0.804 0.500
Pa 0.598 0.196 0.500
Te 0.000 0.000 0.749
Te 0.000 0.000 0.251
Te 0.648 0.295 0.000
Te 0.352 0.705 0.000
Te 0.802 0.604 0.500
Te 0.198 0.396 0.500

Computed properties:
Electronic total energy: -5.5126 eV/atom
ΔE_f (raw): -0.834 eV/atom
Total magnetization: 0.44 μB per atom

***

First-principles (PBE) data for Tm2Pa2Te7 after structural relaxation, as listed in Alexandria via LeMat-Bulk.

Cell lengths 4.245, 9.536, 9.536 Å; angles 61.44, 77.14, 77.14 degrees
Sites, in units of the cell vectors:
Tm 0.000 0.777 0.223
Tm 0.500 0.318 0.682
Pa 0.739 0.858 0.664
Pa 0.261 0.336 0.142
Te 0.821 0.070 0.288
Te 0.858 0.430 0.854
Te 0.500 0.009 0.991
Te 0.609 0.490 0.292
Te 0.391 0.708 0.510
Te 0.179 0.712 0.930
Te 0.142 0.146 0.570

Computed properties:
Electronic total energy: -5.5610 eV/atom
ΔE_f (raw): -1.022 eV/atom
Total magnetization: 0.16 μB per atom

***

First-principles (PBE) data for TmPaTe after structural relaxation, as listed in Alexandria via LeMat-Bulk.

Cell lengths 3.637, 5.127, 5.127 Å; angles 120.00, 90.00, 90.00 degrees
Sites, in units of the cell vectors:
Te 0.500 0.333 0.667
Pa 0.000 0.000 0.000
Tm 0.500 0.667 0.333

Computed properties:
Electronic total energy: -5.8413 eV/atom
ΔE_f (raw): -0.138 eV/atom
Total magnetization: 0.45 μB per atom

***

First-principles (PBE) data for TmPa2Te4 after structural relaxation, as listed in Alexandria via LeMat-Bulk.

Cell lengths 4.082, 7.151, 15.683 Å; angles 90.00, 90.00, 106.59 degrees
Sites, in units of the cell vectors:
Tm 0.600 0.201 0.750
Tm 0.400 0.799 0.250
Pa 0.152 0.305 0.440
Pa 0.848 0.695 0.940
Pa 0.152 0.305 0.060
Pa 0.848 0.695 0.560
Te 0.799 0.599 0.133
Te 0.799 0.599 0.367
Te 0.201 0.401 0.867
Te 0.201 0.401 0.633
Te 0.934 0.869 0.750
Te 0.066 0.131 0.250
Te 0.500 0.000 0.000
Te 0.500 0.000 0.500

Computed properties:
Electronic total energy: -5.9763 eV/atom
ΔE_f (raw): -0.829 eV/atom
Total magnetization: 0.41 μB per atom

***

First-principles (PBE) data for Tm2Pa2Te7 after structural relaxation, as listed in Alexandria via LeMat-Bulk.

Cell lengths 5.210, 5.210, 14.639 Å; angles 90.00, 90.00, 90.00 degrees
Sites, in units of the cell vectors:
Tm 0.500 0.000 0.864
Tm 0.000 0.500 0.136
Pa 0.500 0.000 0.373
Pa 0.000 0.500 0.627
Te 0.500 0.500 0.000
Te 0.000 0.000 0.232
Te 0.500 0.500 0.254
Te 0.000 0.000 0.500
Te 0.500 0.500 0.500
Te 0.000 0.000 0.768
Te 0.500 0.500 0.746

Computed properties:
Electronic total energy: -5.3928 eV/atom
ΔE_f (raw): -0.854 eV/atom
Total magnetization: 0.18 μB per atom

***

First-principles (PBE) data for Tm3PaTe6 after structural relaxation, as listed in Alexandria via LeMat-Bulk.

Cell lengths 4.276, 12.341, 12.688 Å; angles 108.57, 90.00, 90.00 degrees
Sites, in units of the cell vectors:
Tm 0.750 0.430 0.838
Tm 0.250 0.570 0.162
Tm 0.750 0.680 0.502
Tm 0.250 0.320 0.498
Tm 0.750 0.153 0.078
Tm 0.250 0.847 0.922
Pa 0.750 0.047 0.699
Pa 0.250 0.953 0.301
Te 0.750 0.483 0.620
Te 0.250 0.517 0.380
Te 0.750 0.914 0.099
Te 0.250 0.086 0.901
Te 0.750 0.393 0.065
Te 0.250 0.607 0.935
Te 0.750 0.746 0.280
Te 0.250 0.254 0.720
Te 0.750 0.114 0.467
Te 0.250 0.886 0.533
Te 0.750 0.806 0.749
Te 0.250 0.194 0.251

Computed properties:
Electronic total energy: -5.3589 eV/atom
ΔE_f (raw): -1.183 eV/atom
Total magnetization: 0.16 μB per atom

***

First-principles (PBE) data for Tm2Pa3Te8 after structural relaxation, as listed in Alexandria via LeMat-Bulk.

Cell lengths 7.179, 8.484, 8.895 Å; angles 118.48, 103.74, 90.00 degrees
Sites, in units of the cell vectors:
Tm 0.325 0.248 0.496
Tm 0.675 0.752 0.504
Pa 0.500 0.000 0.000
Pa 0.000 0.233 0.000
Pa 0.000 0.767 0.000
Te 0.886 0.607 0.215
Te 0.114 0.393 0.785
Te 0.907 0.136 0.272
Te 0.093 0.864 0.728
Te 0.587 0.619 0.748
Te 0.587 0.129 0.748
Te 0.413 0.871 0.252
Te 0.413 0.381 0.252

Computed properties:
Electronic total energy: -5.7132 eV/atom
ΔE_f (raw): -0.901 eV/atom
Total magnetization: 0.37 μB per atom